{"formula": "CrFeGeO6", "functional": "GGA+U", "state": "relaxed", "vol_a3_per_cell": 175.8, "total_energy_ha_per_atom": -0.242, "total_magnetization_mub_per_fu": 4.0, "cell": [[4.455, 0.000, 0.000], [0.000, 4.455, 0.000], [0.000, 0.000, 8.855]], "species": ["Cr", "Cr", "Fe", "Fe", "Ge", "Ge", "O", "O", "O", "O", "O", "O", "O", "O", "O", "O", "O", "O"], "frac_coords": [[0.000, 0.000, 0.000], [0.500, 0.500, 0.500], [0.000, 0.000, 0.669], [0.500, 0.500, 0.169], [0.000, 0.000, 0.335], [0.500, 0.500, 0.835], [0.195, 0.195, 0.170], [0.195, 0.195, 0.500], [0.196, 0.196, 0.835], [0.304, 0.696, 0.335], [0.305, 0.695, 0.000], [0.305, 0.695, 0.670], [0.695, 0.305, 0.000], [0.695, 0.305, 0.670], [0.696, 0.304, 0.335], [0.804, 0.804, 0.835], [0.805, 0.805, 0.170], [0.805, 0.805, 0.500]]}